Entry 1:
VASP calculation (PBE) on Ho2TmScIn2 after structural relaxation.

The structure in POSCAR format:
```
Ho2TmScIn2
1.0
5.2439 0.0000 0.0000
-2.6219 4.5413 0.0000
0.0000 0.0000 6.5928
Sc In Ho Tm
1 2 2 1
Cartesian
2.6219 1.5138 0.0000
0.0000 3.0275 0.0000
2.6219 1.5138 3.2964
0.0000 0.0000 4.9825
0.0000 0.0000 1.6102
0.0000 3.0275 3.2964
```

Output
The value obtained for the total DFT energy (no corrections) is -4.593 eV/atom. As for the size of the total moment: 0.108 μB/atom.

***

Entry 2:
VASP calculation (PBE) on HfMo2C3 after structural relaxation.

The structure in POSCAR format:
```
HfMo2C3
1.0
-0.6272 -1.6576 2.5888
2.4807 -0.7386 -1.7730
4.4268 4.8456 4.1751
Mo C Hf
2 3 1
Cartesian
1.8954 0.2760 2.5369
4.3849 2.1734 2.4539
4.0552 2.6401 4.5739
2.2134 2.4228 2.0875
2.2251 -0.1907 0.4170
0.0000 0.0000 0.0000
```

Output
The value obtained for the total DFT energy (no corrections) is -10.083 eV/atom. As for the size of the total moment: 0.001 μB/atom.

***

Entry 3:
VASP calculation (PBE) on Hf2Cd2O5 after structural relaxation.

The structure in POSCAR format:
```
Hf2Cd2O5
1.0
-6.8658 6.4462 2.5634
-2.4600 -2.5555 -0.1626
0.5638 -0.7604 3.4224
Hf O Cd
2 5 2
Cartesian
-3.4329 3.2231 1.2817
0.0000 0.0000 0.0000
-0.5880 0.4365 2.0360
-7.2259 4.3517 2.1573
-4.3810 1.5651 2.9116
-2.0999 -0.4610 0.2435
-5.7140 5.2492 3.9498
-2.7268 0.0120 2.2940
-6.0352 3.1182 3.5292
```

Output
As for the size of the total moment: 0.024 μB/atom. The energy above the lowest structure with this stoichiometry is 85.4 kJ/mol of atoms.

***

Entry 4:
VASP calculation (PBE) on Na4ZnTeO6 after structural relaxation.

The structure in POSCAR format:
```
Na4ZnTeO6
1.0
2.7324 -4.7025 0.0000
2.7324 4.7025 0.0000
-1.8624 0.0000 5.2669
O Te Na Zn
6 1 4 1
Cartesian
-0.2479 -1.6645 4.1559
-0.0089 1.7781 4.1344
3.6113 1.7781 1.1324
0.7266 -0.1232 1.1219
2.8758 -0.1232 4.1450
3.8502 -1.6645 1.1110
2.7324 3.1270 0.0000
2.7324 -0.0087 0.0000
1.8012 -4.6109 2.6334
1.8012 1.4459 2.6334
1.8012 -1.5141 2.6334
2.7324 -3.1221 0.0000
```

Output
The value obtained for the total DFT energy (no corrections) is -4.790 eV/atom.

***

Entry 5:
VASP calculation (PBE) on SrHoSi after structural relaxation.

The structure in POSCAR format:
```
SrHoSi
1.0
0.0000 3.5811 3.5811
3.5811 0.0000 3.5811
3.5811 3.5811 0.0000
Sr Ho Si
1 1 1
Cartesian
5.3716 5.3716 5.3716
1.7905 1.7905 1.7905
0.0000 0.0000 0.0000
```

Output
The value obtained for the total DFT energy (no corrections) is -4.156 eV/atom. As for the size of the total moment: 0.002 μB/atom.

***

Entry 6:
VASP calculation (PBE) on GaSiOs after structural relaxation.

The structure in POSCAR format:
```
GaSiOs
1.0
0.0000 2.8601 2.8601
2.8601 0.0000 2.8601
2.8601 2.8601 0.0000
Ga Si Os
1 1 1
Cartesian
1.4300 1.4300 1.4300
0.0000 0.0000 0.0000
4.2901 4.2901 4.2901
```

Output
The value obtained for the total DFT energy (no corrections) is -6.383 eV/atom. As for the size of the total moment: 0.000 μB/atom.

***

Entry 7:
VASP calculation (PBE) on CdBi after structural relaxation.

The structure in POSCAR format:
```
CdBi
1.0
-0.5478 1.9557 -2.8249
0.9637 -3.3251 -0.3463
-5.0850 -1.4704 -0.0318
Bi Cd
1 1
Cartesian
-3.8578 -0.9073 -2.0226
-0.8114 -1.9324 -1.1805
```

Output
The value obtained for the total DFT energy (no corrections) is -2.346 eV/atom.

***

Entry 8:
VASP calculation (PBE) on CsGdSeS after structural relaxation.

The structure in POSCAR format:
```
CsGdSeS
1.0
4.2155 0.0000 0.0000
-2.1078 3.6507 0.0000
0.0000 0.0000 16.4325
Gd S Se Cs
2 2 2 2
Cartesian
0.0000 0.0000 8.2938
0.0000 0.0000 0.0776
0.0000 2.4338 9.7147
2.1077 1.2169 1.4984
0.0000 2.4338 14.8875
2.1077 1.2169 6.6712
2.1077 1.2169 12.2933
0.0000 2.4338 4.0771
```

Output
The value obtained for the total DFT energy (no corrections) is -5.060 eV/atom. As for the size of the total moment: 0.000 μB/atom.

***

Entry 9:
VASP calculation (PBE) on Dy4YS7 after structural relaxation.

The structure in POSCAR format:
```
Dy4YS7
1.0
6.4208 -1.9027 0.0000
6.4208 1.9027 0.0000
-2.9345 0.0000 11.2211
S Y Dy
7 1 4
Cartesian
8.4792 0.0000 3.9523
4.9536 0.0000 5.6106
-1.7724 0.0000 8.8071
8.3186 0.0000 0.5766
11.6796 0.0000 2.4140
1.5886 0.0000 10.6445
1.4280 0.0000 7.2688
0.0000 0.0000 0.0000
9.7048 0.0000 6.4929
3.3061 0.0000 2.1092
6.6011 0.0000 9.1119
0.2024 0.0000 4.7282
```

Output
The value obtained for the total DFT energy (no corrections) is -6.557 eV/atom. As for the size of the total moment: 0.000 μB/atom.

***

Entry 10:
VASP calculation (PBE) on NaSnIr after structural relaxation.

The structure in POSCAR format:
```
NaSnIr
1.0
0.0000 3.1555 3.1555
3.1555 0.0000 3.1555
3.1555 3.1555 0.0000
Ir Na Sn
1 1 1
Cartesian
1.5777 1.5777 1.5777
0.0000 0.0000 0.0000
4.7332 4.7332 4.7332
```

Output
The value obtained for the total DFT energy (no corrections) is -3.908 eV/atom. As for the size of the total moment: 0.005 μB/atom.

***

Entry 11:
VASP calculation (PBE) on NaZrTe3Pd after structural relaxation.

The structure in POSCAR format:
```
NaZrTe3Pd
1.0
14.5034 0.0000 0.0000
0.0000 4.0037 0.0000
0.0000 0.0000 11.1457
Na Pd Te Zr
4 4 12 4
Cartesian
3.2795 1.0009 6.2173
10.5312 1.0009 10.5013
3.9722 3.0028 0.6444
11.2239 3.0028 4.9284
0.2147 3.0028 6.7042
7.4664 3.0028 10.0144
7.0370 1.0009 1.1313
14.2887 1.0009 4.4416
12.9085 1.0009 6.8744
13.0421 3.0028 10.4404
1.5949 3.0028 4.2714
1.4613 1.0009 0.7053
12.2442 1.0009 2.6162
5.6568 1.0009 9.8442
2.2592 3.0028 8.5295
9.5109 3.0028 8.1891
5.7904 3.0028 6.2782
8.7130 1.0009 4.8676
4.9925 1.0009 2.9566
8.8466 3.0028 1.3015
7.0101 3.0028 3.4882
7.4933 1.0009 7.6575
0.2416 1.0009 9.0611
14.2618 3.0028 2.0847
```

Output
As for the size of the total moment: 0.001 μB/atom. The energy above the lowest structure with this stoichiometry is 0.0 kJ/mol of atoms.

***

Entry 12:
VASP calculation (PBE) on ScUCu after structural relaxation.

The structure in POSCAR format:
```
ScUCu
1.0
4.0199 -0.2406 2.1222
1.1835 3.2089 3.0040
0.1744 -0.9915 4.4394
U Cu Sc
1 1 1
Cartesian
0.0000 0.0000 0.0000
1.3445 0.4942 2.3914
4.0334 1.4826 7.1742
```

Output
The calculation puts the formation energy at 3.3 eV per formula unit. As for the size of the total moment: 0.814 μB/atom. The energy above the lowest structure with this stoichiometry is 45.2 kJ/mol of atoms.

***

Entry 13:
VASP calculation (PBE) on NdHf6As2 after structural relaxation.

The structure in POSCAR format:
```
NdHf6As2
1.0
-5.4363 -4.5112 -2.7424
1.0049 0.6025 7.4868
-2.4602 2.9061 0.0964
Hf As Nd
6 2 1
Cartesian
-4.4670 -1.4020 3.5137
-1.8657 -1.6457 1.9975
-3.1475 -2.6119 -1.5878
-0.9592 1.6155 2.0664
-2.6955 0.2370 -0.6911
0.5818 0.3488 4.3347
-2.3723 0.3510 4.1253
-4.5193 -1.3536 0.7155
0.0000 0.0000 0.0000
```

Output
The value obtained for the total DFT energy (no corrections) is -8.355 eV/atom. As for the size of the total moment: 0.001 μB/atom.

***

Entry 14:
VASP calculation (PBE) on PuTaAl after structural relaxation.

The structure in POSCAR format:
```
PuTaAl
1.0
1.3015 1.8921 3.8602
-0.5868 4.4052 0.6518
-3.0722 1.4456 2.9405
Al Ta Pu
1 1 1
Cartesian
0.0000 0.0000 0.0000
-1.7681 5.8071 5.5894
-0.5894 1.9357 1.8631
```

Output
The value obtained for the total DFT energy (no corrections) is -9.348 eV/atom. As for the size of the total moment: 1.743 μB/atom.

***

Entry 15:
VASP calculation (PBE) on KCdF3 after structural relaxation.

The structure in POSCAR format:
```
KCdF3
1.0
-1.8328 -3.3451 -2.1261
-0.1782 -2.2221 3.7549
-3.9548 1.6613 0.7954
F Cd K
3 1 1
Cartesian
-1.9774 0.8306 0.3977
-0.9164 -1.6725 -1.0630
-0.0891 -1.1110 1.8775
0.0000 0.0000 0.0000
-2.9829 -1.9529 1.2121
```

Output
The value obtained for the total DFT energy (no corrections) is -3.946 eV/atom.

***

Entry 16:
VASP calculation (PBE) on NaPrNO after structural relaxation.

The structure in POSCAR format:
```
NaPrNO
1.0
5.0471 0.0000 0.0000
0.0000 5.0471 0.0000
0.0000 0.0000 4.7957
N Pr O Na
2 2 2 2
Cartesian
1.2618 1.2618 2.4023
3.7853 3.7853 2.3935
1.2618 3.7853 2.3979
3.7853 1.2618 2.3979
1.2618 3.7853 0.0000
3.7853 1.2618 0.0000
3.7853 3.7853 4.7910
1.2618 1.2618 0.0047
```

Output
As for the size of the total moment: 0.249 μB/atom. The energy above the lowest structure with this stoichiometry is 3.7 kJ/mol of atoms.

***

Entry 17:
VASP calculation (PBE) on Nd2YCu4Ge4 after structural relaxation.

The structure in POSCAR format:
```
Nd2YCu4Ge4
1.0
-0.8232 -1.1619 8.0297
-7.1523 -2.1126 3.2992
6.1313 -1.6694 -5.1112
Y Cu Nd Ge
1 4 2 4
Cartesian
-0.5105 -1.8910 -0.9060
-1.5036 -3.8718 3.7878
-4.8364 -2.0941 1.9554
2.9921 -2.8499 4.2623
-0.3407 -1.0722 2.4299
-2.9349 -1.2050 4.1689
-5.0407 -2.0696 7.1600
1.6268 -0.8677 0.8944
3.6813 -1.9636 2.0241
-2.2266 -2.5956 1.5316
0.3823 -2.3484 4.6861
```

Output
The value obtained for the total DFT energy (no corrections) is -5.097 eV/atom. As for the size of the total moment: 0.000 μB/atom.

***

Entry 18:
VASP calculation (PBE) on B2Te2Au after structural relaxation.

The structure in POSCAR format:
```
B2Te2Au
1.0
-1.9282 1.9282 6.6911
1.9282 -1.9282 6.6911
1.9282 1.9282 -6.6911
Au B Te
1 2 2
Cartesian
0.0000 0.0000 0.0000
0.0000 1.9282 3.3456
1.9282 0.0000 3.3456
0.0000 0.0000 4.7330
0.0000 0.0000 8.6493
```

Output
The value obtained for the total DFT energy (no corrections) is -3.634 eV/atom.

***

Entry 19:
VASP calculation (PBE) on CuAg7 after structural relaxation.

The structure in POSCAR format:
```
CuAg7
1.0
4.5906 -2.0438 0.0000
4.5906 2.0438 0.0000
-3.6526 0.0000 7.3328
Ag Cu
7 1
Cartesian
4.6069 0.0000 4.6242
3.7099 0.0000 1.7831
0.9219 0.0000 2.7086
6.4292 0.0000 0.8843
-0.9005 0.0000 6.4485
1.8189 0.0000 5.5496
-1.8263 0.0000 3.6664
0.0000 0.0000 0.0000
```

Output
The calculation puts the formation energy at 0.3 eV per formula unit. The energy above the lowest structure with this stoichiometry is 1.4 kJ/mol of atoms.

***

Entry 20:
VASP calculation (PBE) on Rb2Nd4Cu4Se9 after structural relaxation.

The structure in POSCAR format:
```
Rb2Nd4Cu4Se9
1.0
7.3351 -2.1024 0.0000
7.3351 2.1024 0.0000
-5.4937 0.0000 16.0429
Se Rb Cu Nd
9 2 4 4
Cartesian
0.8221 0.0000 2.0408
8.4344 0.0000 9.7214
4.5882 0.0000 8.0214
8.3544 0.0000 14.0021
-1.7499 0.0000 11.6113
10.9264 0.0000 4.4316
0.7420 0.0000 6.3215
4.2092 0.0000 14.8123
4.9673 0.0000 1.2306
2.8974 0.0000 11.7093
6.2791 0.0000 4.3336
-4.2351 0.0000 15.5867
6.8909 0.0000 11.6847
13.4115 0.0000 0.4562
2.2856 0.0000 4.3582
-0.7711 0.0000 8.9088
10.1540 0.0000 1.6435
-0.9776 0.0000 14.3994
9.9476 0.0000 7.1341
```

Output
The value obtained for the total DFT energy (no corrections) is -4.819 eV/atom. As for the size of the total moment: 0.000 μB/atom.